A relaxed structure of Sc2VPbO, computed with GGA+U.

Cell lengths 5.456, 3.669, 5.456 Å; angles 90.00, 90.00, 90.00 degrees
Last column: magnetic moment on the atom in μB.
Fractional positions:
V1 0.000 0.000 0.000  1.99
Sc1 0.000 0.000 0.500  -0.11
Pb1 0.500 0.500 0.500  0.01
Sc2 0.500 0.000 0.000  -0.07
O1 0.000 0.500 0.000  -0.14

Computed properties:
magnetization: 1.8 μB/f.u.
SG: No. 123
crystal system: tetragonal
E_tot: -5.919 eV/atom